--- a ---
This record from the Alexandria database describes a relaxed structure of NaSr2Li2. The functional is PBE.

Properties
* density of states at the Fermi level: 3.64 states/eV/f.u.

abc: 8.8102 8.8102 4.7088
angles: 90.00 90.00 148.03
Fractional positions:
Na: 0.0000 0.0000 0.0000
Sr: 0.3658 0.6342 0.5000
Sr: 0.6342 0.3658 0.5000
Li: 0.2012 0.7988 0.0000
Li: 0.7988 0.2012 0.0000

--- b ---
This record from the Alexandria database describes a relaxed structure of NaSr2Li2. The functional is PBE.

Properties
* density of states at the Fermi level: 3.41 states/eV/f.u.

abc: 11.6631 11.6631 11.6631
angles: 159.72 159.72 28.84
Fractional positions:
Na: 0.0000 0.0000 0.0000
Sr: 0.3823 0.3823 0.0000
Sr: 0.6177 0.6177 0.0000
Li: 0.2500 0.7500 0.5000
Li: 0.7500 0.2500 0.5000

--- c ---
This record from the Alexandria database describes a relaxed structure of NaSr2Li2. The functional is PBE.

Properties
* density of states at the Fermi level: 4.56 states/eV/f.u.

abc: 9.9289 9.9289 4.0574
angles: 90.00 90.00 90.00
Fractional positions:
Na: 0.0000 0.0000 0.0000
Na: 0.5000 0.5000 0.0000
Sr: 0.1482 0.3518 0.0000
Sr: 0.3518 0.8518 0.0000
Sr: 0.6482 0.1482 0.0000
Sr: 0.8518 0.6482 0.0000
Li: 0.1433 0.6433 0.5000
Li: 0.3567 0.1433 0.5000
Li: 0.6433 0.8567 0.5000
Li: 0.8567 0.3567 0.5000

Which of them is most stable, and which least? Most stable: a; least stable: c.

--- a ---
This record from the Alexandria database describes a relaxed structure of Na3Sr6Li. The functional is PBE.

Properties
* density of states at the Fermi level: 9.60 states/eV/f.u.

abc: 11.1024 13.3608 6.3670
angles: 90.00 90.00 90.00
Fractional positions:
Na: 0.0000 0.0000 0.0000
Na: 0.1654 0.2416 0.5000
Na: 0.3346 0.7416 0.0000
Na: 0.5000 0.5000 0.5000
Na: 0.6654 0.2584 0.0000
Na: 0.8346 0.7584 0.5000
Sr: 0.0019 0.7428 0.0000
Sr: 0.1616 0.5775 0.5000
Sr: 0.1734 0.9177 0.5000
Sr: 0.3266 0.4177 0.0000
Sr: 0.3384 0.0775 0.0000
Sr: 0.4981 0.2428 0.5000
Sr: 0.5019 0.7572 0.5000
Sr: 0.6616 0.9225 0.0000
Sr: 0.6734 0.5823 0.0000
Sr: 0.8266 0.0823 0.5000
Sr: 0.8384 0.4225 0.5000
Sr: 0.9981 0.2572 0.0000
Li: 0.0000 0.5000 0.0000
Li: 0.5000 0.0000 0.5000

--- b ---
This record from the Alexandria database describes a relaxed structure of Na3Sr6Li. The functional is PBE.

Properties
* density of states at the Fermi level: 8.98 states/eV/f.u.

abc: 11.0843 6.3884 13.6033
angles: 90.00 105.57 90.00
Fractional positions:
Na: 0.0384 0.2500 0.3938
Na: 0.1382 0.7500 0.2074
Na: 0.2653 0.2500 0.9871
Na: 0.7347 0.7500 0.0129
Na: 0.8618 0.2500 0.7926
Na: 0.9616 0.7500 0.6062
Sr: 0.0358 0.7500 0.9031
Sr: 0.1470 0.2500 0.6849
Sr: 0.2675 0.7500 0.4975
Sr: 0.3515 0.2500 0.3155
Sr: 0.3520 0.7500 0.8052
Sr: 0.4278 0.7500 0.1147
Sr: 0.5722 0.2500 0.8853
Sr: 0.6480 0.2500 0.1948
Sr: 0.6485 0.7500 0.6845
Sr: 0.7325 0.2500 0.5025
Sr: 0.8530 0.7500 0.3151
Sr: 0.9642 0.2500 0.0969
Li: 0.4434 0.2500 0.6109
Li: 0.5566 0.7500 0.3891

Which of them is most stable, and which least? Most stable: b; least stable: a.

--- a ---
This record from the Alexandria database describes a relaxed structure of Na2Sr2Li. The functional is PBE.

Properties
* density of states at the Fermi level: 4.54 states/eV/f.u.

abc: 11.1613 11.1613 11.1613
angles: 157.02 157.02 32.72
Fractional positions:
Na: 0.2500 0.7500 0.5000
Na: 0.7500 0.2500 0.5000
Sr: 0.0939 0.0939 0.0000
Sr: 0.9061 0.9061 0.0000
Li: 0.5000 0.5000 0.0000

--- b ---
This record from the Alexandria database describes a relaxed structure of Na2Sr2Li. The functional is PBE.

Properties
* density of states at the Fermi level: 4.31 states/eV/f.u.

abc: 9.9268 9.9268 4.5743
angles: 90.00 90.00 90.00
Fractional positions:
Na: 0.1431 0.3569 0.0000
Na: 0.3569 0.8569 0.0000
Na: 0.6431 0.1431 0.0000
Na: 0.8569 0.6431 0.0000
Sr: 0.1549 0.6549 0.5000
Sr: 0.3451 0.1549 0.5000
Sr: 0.6549 0.8451 0.5000
Sr: 0.8451 0.3451 0.5000
Li: 0.0000 0.0000 0.5000
Li: 0.5000 0.5000 0.5000

--- c ---
This record from the Alexandria database describes a relaxed structure of Na2Sr2Li. The functional is PBE.

Properties
* density of states at the Fermi level: 3.89 states/eV/f.u.

abc: 8.4272 8.4272 5.8927
angles: 90.00 90.00 90.00
Fractional positions:
Na: 0.1351 0.3649 0.0000
Na: 0.3649 0.8649 0.0000
Na: 0.6351 0.1351 0.0000
Na: 0.8649 0.6351 0.0000
Sr: 0.1784 0.6784 0.5000
Sr: 0.3216 0.1784 0.5000
Sr: 0.6784 0.8216 0.5000
Sr: 0.8216 0.3216 0.5000
Li: 0.0000 0.0000 0.0000
Li: 0.5000 0.5000 0.0000

--- d ---
This record from the Alexandria database describes a relaxed structure of Na2Sr2Li. The functional is PBE.

Properties
* density of states at the Fermi level: 3.28 states/eV/f.u.

abc: 7.3956 7.3956 7.3956
angles: 144.78 116.49 74.76
Fractional positions:
Na: 0.2189 0.0000 0.2189
Na: 0.7811 0.0000 0.7811
Sr: 0.2299 0.7299 0.5000
Sr: 0.7701 0.2701 0.5000
Li: 0.5000 0.5000 0.0000

Which of them is most stable, and which least? Most stable: d; least stable: b.